Li2VCrO4: relaxed, PBE+U.

**Offset from the most stable computed form**: 0.001 eV/atom

Cell: 5.1531 5.1683 5.9967 Å, 106.78 90.06 99.79°
Last column: nearest neighbours and their distance in Å.
Sites, in units of the cell vectors:
Li 0.0000 0.0000 0.0000  6 O 2.17-2.18
Li 0.4957 0.0031 0.7566  6 O 2.13-2.24
Li 0.0000 0.0000 0.5000  6 O 2.16-2.20
Li 0.5043 0.9969 0.2434  6 O 2.13-2.24
V 0.7495 0.4996 0.6244  6 O 2.05-2.07
V 0.2505 0.5004 0.3756  6 O 2.05-2.07
Cr 0.2496 0.4998 0.8763  6 O 2.03-2.05
Cr 0.7504 0.5002 0.1237  6 O 2.03-2.05
O 0.8792 0.2742 0.8212  2 Cr 2.03, 1 V 2.06, 3 Li 2.17-2.20
O 0.6198 0.7255 0.9336  2 Cr 2.03, 1 V 2.07, 3 Li 2.13-2.19
O 0.3768 0.2720 0.5713  1 Cr 2.05, 2 V 2.05-2.06, 3 Li 2.16-2.24
O 0.1222 0.7279 0.6848  1 Cr 2.05, 2 V 2.05-2.07, 3 Li 2.15-2.19
O 0.8778 0.2721 0.3152  1 Cr 2.05, 2 V 2.05-2.07, 3 Li 2.15-2.19
O 0.6232 0.7280 0.4287  1 Cr 2.05, 2 V 2.05-2.06, 3 Li 2.16-2.24
O 0.3802 0.2745 0.0664  2 Cr 2.03, 1 V 2.07, 3 Li 2.13-2.19
O 0.1208 0.7258 0.1788  2 Cr 2.03, 1 V 2.06, 3 Li 2.17-2.20